As2RhCl | Alexandria | PBE-GGA | optimized geometry; M_tot = 0.000 μB/atom; energy = -0.3389 Ry/atom; energy above the lowest structure with this stoichiometry = 1.22 eV/f.u.; uncorrected formation energy = 0.014 eV/atom; DOS at the Fermi energy = 3.2 states/eV/f.u.; space-group type = R3m, No. 160
1.0
1.6240 0.9376 8.4756
-1.6240 0.9376 8.4756
0.0000 -1.8752 8.4756
As Rh Cl
2 1 1
Direct
0.0000 0.0000 0.0000 As
0.2466 0.2466 0.2466 As
0.5199 0.5199 0.5199 Rh
0.7825 0.7825 0.7825 Cl